NaLaCe | the Alexandria database | PBE | relaxed; total magnetic moment = 1.0 μB per cell; formation enthalpy at 0 K = 0.19 eV per atom; Fermi-level density of states = 2.146 states/eV/atom; symmetry = No. 156
1.0
-0.4234 -1.9474 2.9079
-2.2420 -0.3503 -2.6979
5.4890 -6.7047 -3.6908
Ce La Na
1 1 1
Direct
0.3333 0.6667 0.6546
0.6667 0.3333 0.3488
0.0000 0.0000 0.9966